Below is a relaxed Zr2AlCd2 crystal, with properties calculated at the PBE level.

a = 6.950 Å, b = 6.950 Å, c = 4.458 Å
α = 90.00°, β = 90.00°, γ = 90.00°
Fractional coordinates of all 10 atoms:
1 Cd 0.139 0.361 0.000
2 Zr 0.834 0.334 0.500
3 Cd 0.639 0.139 0.000
4 Zr 0.334 0.166 0.500
5 Zr 0.666 0.834 0.500
6 Cd 0.361 0.861 0.000
7 Zr 0.166 0.666 0.500
8 Cd 0.861 0.639 0.000
9 Al 0.500 0.500 0.000
10 Al 0.000 0.000 0.000

SG: P4/mbm (127)
ΔE_f in eV/atom: -0.018
ΔE to the lowest computed polymorph in meV per atom: 219

=====

Below is a relaxed Zr2AlCd crystal, with properties calculated at the PBE level.

a = 10.494 Å, b = 10.494 Å, c = 10.494 Å
α = 16.84°, β = 16.84°, γ = 16.84°
Fractional coordinates of all 4 atoms:
1 Zr 0.503 0.503 0.503
2 Al 0.250 0.250 0.250
3 Zr 0.997 0.997 0.997
4 Cd 0.750 0.750 0.750

SG: R-3m (166)
ΔE_f in eV/atom: -0.093

=====

Below is a relaxed ZrAlCd3 crystal, with properties calculated at the PBE level.

a = 5.641 Å, b = 5.641 Å, c = 5.641 Å
α = 90.00°, β = 90.00°, γ = 90.00°
Fractional coordinates of all 5 atoms:
1 Cd 0.000 0.500 0.000
2 Cd 0.500 0.000 0.000
3 Cd 0.000 0.000 0.500
4 Al 0.500 0.500 0.500
5 Zr 0.000 0.000 0.000

SG: Pm-3m (221)
ΔE_f in eV/atom: 1.028
ΔE to the lowest computed polymorph in meV per atom: 395

=====

Below is a relaxed ZrAlCd2 crystal, with properties calculated at the PBE level.

a = 5.535 Å, b = 5.535 Å, c = 3.043 Å
α = 90.00°, β = 90.00°, γ = 115.61°
Fractional coordinates of all 4 atoms:
1 Zr 0.500 0.000 0.500
2 Cd 0.500 0.500 0.000
3 Cd 0.000 0.000 0.000
4 Al 0.000 0.500 0.500

SG: Cmmm (65)
ΔE_f in eV/atom: -0.034
ΔE to the lowest computed polymorph in meV per atom: 200

=====

Below is a relaxed ZrAlCd crystal, with properties calculated at the PBE level.

a = 4.605 Å, b = 4.605 Å, c = 3.249 Å
α = 90.00°, β = 90.00°, γ = 120.00°
Fractional coordinates of all 3 atoms:
1 Zr 0.333 0.667 0.667
2 Cd 0.667 0.333 0.167
3 Al 0.000 0.000 0.167

SG: P-6m2 (187)
ΔE_f in eV/atom: -0.254

=====

Below is a relaxed CeAl5 crystal, with properties calculated at the PBE level.

a = 4.348 Å, b = 4.276 Å, c = 6.539 Å
α = 109.08°, β = 90.00°, γ = 90.00°
Fractional coordinates of all 6 atoms:
1 Al 0.500 0.171 0.343
2 Al 0.500 0.500 0.000
3 Al 0.500 0.829 0.657
4 Al 0.000 0.319 0.638
5 Al 0.000 0.681 0.362
6 Ce 0.000 0.000 0.000

SG: Cmmm (65)
ΔE_f in eV/atom: -0.207

=====

Below is a relaxed Ce7Al crystal, with properties calculated at the PBE level.

a = 6.587 Å, b = 6.587 Å, c = 6.587 Å
α = 60.00°, β = 60.00°, γ = 60.00°
Fractional coordinates of all 8 atoms:
1 Al 0.000 0.000 0.000
2 Ce 0.500 0.500 0.000
3 Ce 0.500 0.000 0.500
4 Ce 0.500 0.500 0.500
5 Ce 0.500 0.000 0.000
6 Ce 0.000 0.000 0.500
7 Ce 0.000 0.500 0.000
8 Ce 0.000 0.500 0.500

SG: Fm-3m (225)
ΔE_f in eV/atom: -0.065

=====

Below is a relaxed Ce3Al11 crystal, with properties calculated at the PBE level.

a = 8.440 Å, b = 8.440 Å, c = 8.440 Å
α = 150.09°, β = 107.24°, γ = 80.60°
Fractional coordinates of all 14 atoms:
1 Al 0.294 0.663 0.631
2 Al 0.968 0.337 0.631
3 Al 0.862 0.138 0.724
4 Al 0.138 0.862 0.276
5 Al 0.500 0.000 0.500
6 Al 0.413 0.138 0.276
7 Al 0.032 0.663 0.369
8 Al 0.292 0.500 0.792
9 Ce 0.000 0.000 0.000
10 Ce 0.686 0.686 0.000
11 Al 0.708 0.500 0.208
12 Ce 0.314 0.314 0.000
13 Al 0.587 0.862 0.724
14 Al 0.706 0.337 0.369

SG: Immm (71)
ΔE_f in eV/atom: -0.355

=====

Fermi-level density of states values, unit states/eV/cell, following the record order: 6.62, 4.39, 5.05, 3.40, 1.79, 5.22, 22.27, 17.83.